## A
# Al2HgIrC, optimized geometry, DFT GGA-PBE
data_Al2HgIrC
_chemical_formula_sum 'Al2 Hg1 Ir1 C1'
_symmetry_space_group_name_H-M 'P 4/m m m'
_symmetry_Int_Tables_number 123
_symmetry_space_group_name_Hall '-P 4 2'
_cell_length_a 4.7051
_cell_length_b 4.7051
_cell_length_c 5.2883
_cell_angle_alpha 90.00
_cell_angle_beta 90.00
_cell_angle_gamma 90.00
loop_
_atom_site_label
_atom_site_type_symbol
_atom_site_fract_x
_atom_site_fract_y
_atom_site_fract_z
Al1 Al 0.0000 0.5000 0.0000
Hg1 Hg 0.0000 0.0000 0.5000
Ir1 Ir 0.0000 0.0000 0.0000
C1 C 0.5000 0.5000 0.5000
# Crystal system: tetragonal
# Size of the total moment: 1.9 μB per formula unit



## B
# Al2HgIrC, optimized geometry, DFT GGA-PBE
data_Al2HgIrC
_chemical_formula_sum 'Al2 Hg1 Ir1 C1'
_symmetry_space_group_name_H-M 'P 4/m m m'
_symmetry_Int_Tables_number 123
_symmetry_space_group_name_Hall '-P 4 2'
_cell_length_a 4.0650
_cell_length_b 4.0650
_cell_length_c 4.3458
_cell_angle_alpha 90.00
_cell_angle_beta 90.00
_cell_angle_gamma 90.00
loop_
_atom_site_label
_atom_site_type_symbol
_atom_site_fract_x
_atom_site_fract_y
_atom_site_fract_z
Al1 Al 0.0000 0.5000 0.0000
Hg1 Hg 0.0000 0.0000 0.5000
Ir1 Ir 0.5000 0.5000 0.5000
C1 C 0.5000 0.5000 0.0000
# Crystal system: tetragonal
# Size of the total moment: 0.0 μB per formula unit



Of them, the most stable is B and the least stable is A.



## A
# Al3CI, optimized geometry, DFT GGA-PBE
data_Al3CI
_chemical_formula_sum 'Al3 C1 I1'
_symmetry_space_group_name_H-M 'P m -3 m'
_symmetry_Int_Tables_number 221
_symmetry_space_group_name_Hall '-P 4 2 3'
_cell_length_a 4.4763
_cell_length_b 4.4763
_cell_length_c 4.4763
_cell_angle_alpha 90.00
_cell_angle_beta 90.00
_cell_angle_gamma 90.00
loop_
_atom_site_label
_atom_site_type_symbol
_atom_site_fract_x
_atom_site_fract_y
_atom_site_fract_z
Al1 Al 0.0000 0.0000 0.5000
C1 C 0.0000 0.0000 0.0000
I1 I 0.5000 0.5000 0.5000
# Crystal system: cubic
# Size of the total moment: 0.0 μB per formula unit



## B
# Al3CI, optimized geometry, DFT GGA-PBE
data_Al3CI
_chemical_formula_sum 'Al3 C1 I1'
_symmetry_space_group_name_H-M 'P m -3 m'
_symmetry_Int_Tables_number 221
_symmetry_space_group_name_Hall '-P 4 2 3'
_cell_length_a 6.0460
_cell_length_b 6.0460
_cell_length_c 6.0460
_cell_angle_alpha 90.00
_cell_angle_beta 90.00
_cell_angle_gamma 90.00
loop_
_atom_site_label
_atom_site_type_symbol
_atom_site_fract_x
_atom_site_fract_y
_atom_site_fract_z
Al1 Al 0.0000 0.0000 0.5000
C1 C 0.5000 0.5000 0.5000
I1 I 0.0000 0.0000 0.0000
# Crystal system: cubic
# Size of the total moment: 2.2 μB per formula unit



Of them, the most stable is A and the least stable is B.



## A
# AlCI3, optimized geometry, DFT GGA-PBE
data_AlCI3
_chemical_formula_sum 'Al1 C1 I3'
_symmetry_space_group_name_H-M 'P m -3 m'
_symmetry_Int_Tables_number 221
_symmetry_space_group_name_Hall '-P 4 2 3'
_cell_length_a 5.1893
_cell_length_b 5.1893
_cell_length_c 5.1893
_cell_angle_alpha 90.00
_cell_angle_beta 90.00
_cell_angle_gamma 90.00
loop_
_atom_site_label
_atom_site_type_symbol
_atom_site_fract_x
_atom_site_fract_y
_atom_site_fract_z
Al1 Al 0.0000 0.0000 0.0000
C1 C 0.5000 0.5000 0.5000
I1 I 0.0000 0.5000 0.5000
# Crystal system: cubic
# Size of the total moment: 0.0 μB per formula unit



## B
# AlCI3, optimized geometry, DFT GGA-PBE
data_AlCI3
_chemical_formula_sum 'Al1 C1 I3'
_symmetry_space_group_name_H-M 'P m -3 m'
_symmetry_Int_Tables_number 221
_symmetry_space_group_name_Hall '-P 4 2 3'
_cell_length_a 5.5694
_cell_length_b 5.5694
_cell_length_c 5.5694
_cell_angle_alpha 90.00
_cell_angle_beta 90.00
_cell_angle_gamma 90.00
loop_
_atom_site_label
_atom_site_type_symbol
_atom_site_fract_x
_atom_site_fract_y
_atom_site_fract_z
Al1 Al 0.0000 0.0000 0.0000
C1 C 0.5000 0.5000 0.5000
I1 I 0.0000 0.0000 0.5000
# Crystal system: cubic
# Size of the total moment: 1.7 μB per formula unit



Of them, the most stable is A and the least stable is B.



## A
# Al2C2I, optimized geometry, DFT GGA-PBE
data_Al2C2I
_chemical_formula_sum 'Al4 C4 I2'
_symmetry_space_group_name_H-M 'P 4/m b m'
_symmetry_Int_Tables_number 127
_symmetry_space_group_name_Hall '-P 4 2ab'
_cell_length_a 7.2509
_cell_length_b 7.2509
_cell_length_c 3.5340
_cell_angle_alpha 90.00
_cell_angle_beta 90.00
_cell_angle_gamma 90.00
loop_
_atom_site_label
_atom_site_type_symbol
_atom_site_fract_x
_atom_site_fract_y
_atom_site_fract_z
Al1 Al 0.1311 0.3689 0.0000
C1 C 0.2098 0.2902 0.5000
I1 I 0.0000 0.0000 0.5000
# Crystal system: tetragonal
# Size of the total moment: 0.0 μB per formula unit



## B
# Al2C2I, optimized geometry, DFT GGA-PBE
data_Al2C2I
_chemical_formula_sum 'Al4 C4 I2'
_symmetry_space_group_name_H-M 'I 4/m m m'
_symmetry_Int_Tables_number 139
_symmetry_space_group_name_Hall '-I 4 2'
_cell_length_a 4.4238
_cell_length_b 4.4238
_cell_length_c 7.6165
_cell_angle_alpha 90.00
_cell_angle_beta 90.00
_cell_angle_gamma 90.00
loop_
_atom_site_label
_atom_site_type_symbol
_atom_site_fract_x
_atom_site_fract_y
_atom_site_fract_z
Al1 Al 0.0000 0.5000 0.2500
C1 C 0.0000 0.0000 0.0884
I1 I 0.0000 0.0000 0.5000
# Crystal system: tetragonal
# Size of the total moment: 0.0 μB per formula unit



Of them, the most stable is B and the least stable is A.



## A
# AlC2I, optimized geometry, DFT GGA-PBE
data_AlC2I
_chemical_formula_sum 'Al4 C8 I4'
_symmetry_space_group_name_H-M 'I -4 2 d'
_symmetry_Int_Tables_number 122
_symmetry_space_group_name_Hall 'I -4 2bw'
_cell_length_a 5.0328
_cell_length_b 5.0328
_cell_length_c 10.2834
_cell_angle_alpha 90.00
_cell_angle_beta 90.00
_cell_angle_gamma 90.00
loop_
_atom_site_label
_atom_site_type_symbol
_atom_site_fract_x
_atom_site_fract_y
_atom_site_fract_z
Al1 Al 0.0000 0.0000 0.0000
C1 C 0.1818 0.2500 0.1250
I1 I 0.0000 0.0000 0.5000
# Crystal system: tetragonal
# Size of the total moment: 0.0 μB per formula unit



## B
# AlC2I, optimized geometry, DFT GGA-PBE
data_AlC2I
_chemical_formula_sum 'Al4 C8 I4'
_symmetry_space_group_name_H-M 'F m -3 m'
_symmetry_Int_Tables_number 225
_symmetry_space_group_name_Hall '-F 4 2 3'
_cell_length_a 5.9763
_cell_length_b 5.9763
_cell_length_c 5.9763
_cell_angle_alpha 90.00
_cell_angle_beta 90.00
_cell_angle_gamma 90.00
loop_
_atom_site_label
_atom_site_type_symbol
_atom_site_fract_x
_atom_site_fract_y
_atom_site_fract_z
Al1 Al 0.0000 0.0000 0.0000
C1 C 0.2500 0.2500 0.2500
I1 I 0.0000 0.0000 0.5000
# Crystal system: cubic
# Size of the total moment: 0.0 μB per formula unit



Of them, the most stable is A and the least stable is B.



## A
# AlCIN2, optimized geometry, DFT GGA-PBE
data_AlCIN2
_chemical_formula_sum 'Al1 C1 I1 N2'
_symmetry_space_group_name_H-M 'P 4/m m m'
_symmetry_Int_Tables_number 123
_symmetry_space_group_name_Hall '-P 4 2'
_cell_length_a 3.8539
_cell_length_b 3.8539
_cell_length_c 4.3031
_cell_angle_alpha 90.00
_cell_angle_beta 90.00
_cell_angle_gamma 90.00
loop_
_atom_site_label
_atom_site_type_symbol
_atom_site_fract_x
_atom_site_fract_y
_atom_site_fract_z
Al1 Al 0.0000 0.0000 0.0000
C1 C 0.5000 0.5000 0.5000
I1 I 0.5000 0.5000 0.0000
N1 N 0.0000 0.5000 0.5000
# Crystal system: tetragonal
# Size of the total moment: 0.6 μB per formula unit



## B
# AlCIN2, optimized geometry, DFT GGA-PBE
data_AlCIN2
_chemical_formula_sum 'Al1 C1 I1 N2'
_symmetry_space_group_name_H-M 'P 4/m m m'
_symmetry_Int_Tables_number 123
_symmetry_space_group_name_Hall '-P 4 2'
_cell_length_a 3.5990
_cell_length_b 3.5990
_cell_length_c 7.6073
_cell_angle_alpha 90.00
_cell_angle_beta 90.00
_cell_angle_gamma 90.00
loop_
_atom_site_label
_atom_site_type_symbol
_atom_site_fract_x
_atom_site_fract_y
_atom_site_fract_z
Al1 Al 0.0000 0.0000 0.0000
C1 C 0.5000 0.5000 0.5000
I1 I 0.0000 0.0000 0.5000
N1 N 0.0000 0.5000 0.0000
# Crystal system: tetragonal
# Size of the total moment: 0.7 μB per formula unit



Of them, the most stable is B and the least stable is A.



## A
# AlCI2O, optimized geometry, DFT GGA-PBE
data_AlCI2O
_chemical_formula_sum 'Al1 C1 I2 O1'
_symmetry_space_group_name_H-M 'P 4/m m m'
_symmetry_Int_Tables_number 123
_symmetry_space_group_name_Hall '-P 4 2'
_cell_length_a 6.1739
_cell_length_b 6.1739
_cell_length_c 3.0849
_cell_angle_alpha 90.00
_cell_angle_beta 90.00
_cell_angle_gamma 90.00
loop_
_atom_site_label
_atom_site_type_symbol
_atom_site_fract_x
_atom_site_fract_y
_atom_site_fract_z
Al1 Al 0.0000 0.0000 0.0000
C1 C 0.5000 0.5000 0.5000
I1 I 0.0000 0.5000 0.5000
O1 O 0.5000 0.5000 0.0000
# Crystal system: tetragonal
# Size of the total moment: 0.2 μB per formula unit



## B
# AlCI2O, optimized geometry, DFT GGA-PBE
data_AlCI2O
_chemical_formula_sum 'Al1 C1 I2 O1'
_symmetry_space_group_name_H-M 'P 4/m m m'
_symmetry_Int_Tables_number 123
_symmetry_space_group_name_Hall '-P 4 2'
_cell_length_a 5.7804
_cell_length_b 5.7804
_cell_length_c 3.3989
_cell_angle_alpha 90.00
_cell_angle_beta 90.00
_cell_angle_gamma 90.00
loop_
_atom_site_label
_atom_site_type_symbol
_atom_site_fract_x
_atom_site_fract_y
_atom_site_fract_z
Al1 Al 0.0000 0.0000 0.0000
C1 C 0.5000 0.5000 0.5000
I1 I 0.0000 0.5000 0.0000
O1 O 0.0000 0.0000 0.5000
# Crystal system: tetragonal
# Size of the total moment: 1.5 μB per formula unit



Of them, the most stable is B and the least stable is A.